Density functional theory data (PBE-GGA) for an optimized crystal structure of TbHoH4.

Computed properties:
Size of the total moment ... 0.00 μB/f.u.
Uncorrected energy ... -4.48 eV/atom

Unit cell a=5.1679 b=5.1679 c=10.4280 alpha=90.00 beta=90.00 gamma=90.00
Last column: nearest neighbours and their distance in Å.
Space group I4_1/amd (No. 141, origin choice 2)
Inequivalent atoms, fractional coordinates:
Tb  0.0000  0.2500  0.3750  8 H 2.26
Ho  0.0000  0.2500  0.8750  8 H 2.23
H  0.2462  0.0000  0.0000  2 Ho 2.23, 2 Tb 2.26



Density functional theory data (PBE-GGA) for an optimized crystal structure of Er5PbAu4.

Computed properties:
Size of the total moment ... 0.00 μB/f.u.
Formation enthalpy at 0 K ... -7.8 eV/f.u.

Unit cell a=3.5293 b=3.5293 c=19.0758 alpha=90.00 beta=90.00 gamma=90.00
Last column: nearest neighbours and their distance in Å.
Space group P4/mmm (No. 123)
Inequivalent atoms, fractional coordinates:
Er  0.0000  0.0000  0.0000  8 Au 3.09
Er  0.0000  0.0000  0.1901  8 Au 3.08-3.10
Er  0.0000  0.0000  0.3799  4 Au 3.07, 4 Pb 3.39
Pb  0.5000  0.5000  0.5000  8 Er 3.39, 4 Pb 3.53
Au  0.5000  0.5000  0.0958  8 Er 3.08-3.09
Au  0.5000  0.5000  0.2864  8 Er 3.07-3.10



Density functional theory data (PBE-GGA) for an optimized crystal structure of CsKAlHg2.

Computed properties:
Size of the total moment ... 0.00 μB/f.u.
Formation enthalpy at 0 K ... 3.3 eV/f.u.

Unit cell a=6.6091 b=6.6091 c=7.4874 alpha=90.00 beta=90.00 gamma=90.00
Last column: nearest neighbours and their distance in Å.
Space group P4/mmm (No. 123)
Inequivalent atoms, fractional coordinates:
Cs  0.0000  0.0000  0.0000  4 Hg 3.30
K  0.0000  0.0000  0.5000  2 Cs 3.74
Al  0.5000  0.5000  0.5000  4 K 4.67, 8 Hg 4.99
Hg  0.0000  0.5000  0.0000  2 Cs 3.30



Density functional theory data (PBE-GGA) for an optimized crystal structure of Ce2Pu4Bi3N2.

Computed properties:
Size of the total moment ... 24.83 μB/f.u.
Raw formation energy ... -0.797 eV/atom

Unit cell a=4.6935 b=4.6935 c=26.8081 alpha=90.00 beta=90.00 gamma=90.00
Last column: nearest neighbours and their distance in Å.
Space group I4/mmm (No. 139)
Inequivalent atoms, fractional coordinates:
Ce  0.0000  0.0000  0.1931  1 N 2.28
Pu  0.0000  0.5000  0.0860  2 N 2.42
Bi  0.0000  0.0000  0.3204  5 Ce 3.34-3.41, 4 Pu 3.44
Bi  0.0000  0.0000  0.5000  8 Pu 3.29
N  0.0000  0.0000  0.1082  1 Ce 2.28, 4 Pu 2.42



Density functional theory data (PBE-GGA) for an optimized crystal structure of PmNdGd.

Computed properties:
Size of the total moment ... 7.99 μB/f.u.
Formation enthalpy at 0 K ... 0.3 eV/f.u.

Unit cell a=4.2570 b=4.2570 c=11.3333 alpha=90.00 beta=90.00 gamma=90.00
Last column: nearest neighbours and their distance in Å.
Space group I4mm (No. 107)
Inequivalent atoms, fractional coordinates:
Pm  0.0000  0.0000  0.0000  5 Gd 3.52-3.85, 5 Nd 3.61-3.68
Nd  0.0000  0.0000  0.3245  5 Gd 3.54-3.81, 5 Pm 3.61-3.68
Gd  0.0000  0.0000  0.6605  5 Pm 3.52-3.85, 5 Nd 3.54-3.81



Density functional theory data (PBE-GGA) for an optimized crystal structure of NaZrCdH2.

Computed properties:
Size of the total moment ... 0.00 μB/f.u.
Uncorrected energy ... -3.09 eV/atom

Unit cell a=3.9472 b=3.9472 c=6.1242 alpha=90.00 beta=90.00 gamma=90.00
Last column: nearest neighbours and their distance in Å.
Space group P4/mmm (No. 123)
Inequivalent atoms, fractional coordinates:
Na  0.0000  0.0000  0.0000  4 Cd 2.79, 2 Zr 3.06
Zr  0.0000  0.0000  0.5000  4 H 1.97
Cd  0.5000  0.5000  0.0000  4 Na 2.79
H  0.0000  0.5000  0.5000  2 Zr 1.97



Density functional theory data (PBE-GGA) for an optimized crystal structure of KSrVMo2.

Computed properties:
Size of the total moment ... 1.27 μB/f.u.
Formation enthalpy at 0 K ... 13.8 eV/f.u.

Unit cell a=4.8743 b=4.8743 c=4.7204 alpha=90.00 beta=90.00 gamma=90.00
Last column: nearest neighbours and their distance in Å.
Space group P4/mmm (No. 123)
Inequivalent atoms, fractional coordinates:
K  0.0000  0.0000  0.0000  2 V 2.36, 4 Mo 2.44
Sr  0.5000  0.5000  0.5000  8 Mo 3.39, 4 V 3.45
V  0.0000  0.0000  0.5000  2 K 2.36
Mo  0.0000  0.5000  0.0000  2 K 2.44



Density functional theory data (PBE-GGA) for an optimized crystal structure of Ru5Au3.

Computed properties:
Size of the total moment ... 0.00 μB/f.u.
Formation enthalpy at 0 K ... 3.8 eV/f.u.

Unit cell a=4.7367 b=7.7730 c=7.8170 alpha=82.90 beta=74.11 gamma=75.58
Last column: nearest neighbours and their distance in Å.
Space group P-1 (No. 2)
Inequivalent atoms, fractional coordinates:
Ru  0.0553  0.1889  0.2081  3 Ru 2.42-2.64
Ru  0.2193  0.2443  0.8581  5 Ru 2.59-2.68, 5 Au 2.71-2.89
Ru  0.2516  0.5455  0.9535  8 Ru 2.54-2.61
Ru  0.2831  0.6400  0.2560  5 Ru 2.58-2.68, 4 Au 2.71-2.78
Ru  0.4244  0.2916  0.3070  3 Ru 2.42-2.63
Au  0.2010  0.5134  0.6001  9 Ru 2.71-2.91, 2 Au 2.81-2.83
Au  0.2986  0.9008  0.9891  9 Ru 2.71-2.97, 2 Au 2.78-2.84
Au  0.3132  0.9192  0.4370  6 Ru 2.78-3.07, 2 Au 2.84-2.86



Density functional theory data (PBE-GGA) for an optimized crystal structure of TaH2Pd2.

Computed properties:
Size of the total moment ... 0.00 μB/f.u.
Uncorrected energy ... -5.82 eV/atom

Unit cell a=5.5365 b=5.5365 c=3.7739 alpha=90.00 beta=90.00 gamma=90.00
Last column: nearest neighbours and their distance in Å.
Space group P4/mbm (No. 127)
Inequivalent atoms, fractional coordinates:
Ta  0.0000  0.0000  0.0000  4 H 2.06
H  0.1671  0.3329  0.0000  2 Pd 1.89, 2 Ta 2.06
Pd  0.1714  0.3286  0.5000  2 H 1.89



Density functional theory data (PBE-GGA) for an optimized crystal structure of AcNp2N4.

Computed properties:
Size of the total moment ... 4.99 μB/f.u.
Raw formation energy ... -1.141 eV/atom

Unit cell a=3.5217 b=11.4352 c=10.9565 alpha=90.00 beta=90.00 gamma=90.00
Last column: nearest neighbours and their distance in Å.
Space group Cmcm (No. 63)
Inequivalent atoms, fractional coordinates:
Ac  0.0000  0.1081  0.2500  6 N 2.57-2.82
Np  0.0000  0.3676  0.0674  4 N 2.15-2.36
N  0.0000  0.0000  0.0000  4 Np 2.44
N  0.0000  0.2665  0.5977  3 Np 2.15-2.36
N  0.0000  0.4444  0.2500  2 Np 2.18



Density functional theory data (PBE-GGA) for an optimized crystal structure of Zn2HgS2.

Computed properties:
Size of the total moment ... 0.00 μB/f.u.
Raw formation energy ... 0.084 eV/atom

Unit cell a=7.4431 b=7.4431 c=3.3466 alpha=90.00 beta=90.00 gamma=90.00
Last column: nearest neighbours and their distance in Å.
Space group P4/mbm (No. 127)
Inequivalent atoms, fractional coordinates:
Zn  0.1421  0.3579  0.0000  6 S 2.69-2.79, 1 Zn 2.99
Hg  0.0000  0.0000  0.5000  4 S 2.80
S  0.1582  0.6582  0.5000  6 Zn 2.69-2.79, 2 Hg 2.80



What is the size of the total moment in the eleventh record?
0.00 μB/f.u.